Entry 1:
Si2IO, relaxed, DFT GGA-PBE; E_form (uncorrected) = 0.835 eV per atom; D(E_F) = 0.36 states/eV/atom; space-group type = Fm-3m (225)
1.0
1.821 0.635 4.258
-2.803 0.193 3.736
-0.015 -3.503 3.094
I Si O
1 2 1
Direct
0.500 0.500 0.500
0.250 0.250 0.250
0.750 0.750 0.750
0.000 0.000 0.000

Entry 2:
KTa2Ni, relaxed, DFT GGA-PBE; D(E_F) = 1.08 states/eV/atom; energy of formation from the pure elements = 0.648 eV per atom; space-group type = Cmmm (65)
1.0
-2.278 -0.956 1.351
1.851 -0.539 2.053
-1.621 9.423 3.934
K Ni Ta
1 1 2
Direct
0.500 0.500 0.250
0.500 0.500 0.750
0.000 0.000 0.926
0.000 0.000 0.574

Entry 3:
BaTb2AgO5, relaxed, DFT GGA-PBE; E_form (uncorrected) = -2.435 eV per atom; D(E_F) = 0.85 states/eV/atom; space-group type = I4/mcm (140)
1.0
-2.074 1.130 -6.174
1.464 -6.236 -1.633
-5.423 0.789 5.505
Ba Tb Ag O
2 4 2 10
Direct
0.250 0.250 0.500
0.750 0.750 0.500
0.170 0.330 0.000
0.670 0.170 0.000
0.330 0.830 0.000
0.830 0.670 0.000
0.250 0.750 0.500
0.750 0.250 0.500
0.967 0.467 0.229
0.738 0.238 0.771
0.033 0.533 0.771
0.238 0.033 0.771
0.533 0.738 0.771
0.762 0.967 0.229
0.467 0.262 0.229
0.262 0.762 0.229
0.500 0.500 0.000
0.000 0.000 0.000

Entry 4:
PmGe3Ru5, relaxed, DFT GGA-PBE; D(E_F) = 1.02 states/eV/atom; energy of formation from the pure elements = -0.233 eV per atom; space-group type = Cmcm (63)
1.0
4.106 0.000 0.000
-2.053 6.548 0.000
0.000 0.000 11.595
Pm Ge Ru
2 6 10
Direct
0.811 0.623 0.750
0.189 0.377 0.250
0.376 0.752 0.944
0.882 0.765 0.250
0.376 0.752 0.556
0.624 0.248 0.444
0.118 0.235 0.750
0.624 0.248 0.056
0.808 0.615 0.441
0.192 0.385 0.941
0.000 0.000 0.500
0.000 0.000 0.000
0.452 0.904 0.144
0.548 0.096 0.856
0.548 0.096 0.644
0.808 0.615 0.059
0.192 0.385 0.559
0.452 0.904 0.356

Entry 5:
NbBiS, relaxed, DFT GGA-PBE; E_form (uncorrected) = -0.502 eV per atom; D(E_F) = 0.64 states/eV/atom; space-group type = Cm (8)
1.0
-1.395 -7.215 2.406
2.943 -0.984 -1.245
2.727 2.542 4.437
S Nb Bi
2 2 2
Direct
0.278 0.000 0.863
0.278 0.500 0.363
0.484 0.000 0.600
0.484 0.500 0.100
0.805 0.000 0.376
0.805 0.500 0.876

Entry 6:
SiGe3W, relaxed, DFT GGA-PBE; E_form (uncorrected) = 0.852 eV per atom; D(E_F) = 0.73 states/eV/atom; space-group type = Pm-3m (221)
1.0
-3.717 2.984 1.181
0.733 -0.970 4.758
3.125 3.777 0.289
Ge Si W
3 1 1
Direct
0.000 0.500 0.000
0.000 0.000 0.500
0.500 0.000 0.000
0.500 0.500 0.500
0.000 0.000 0.000

Entry 7:
Li2NiH6Pt, relaxed, DFT GGA-PBE; D(E_F) = 0.14 states/eV/atom; final energy = -3.881 eV/atom; space-group type = C2/m (12)
1.0
4.793 0.003 -0.010
0.003 4.793 -0.010
2.391 2.391 3.400
Li Ni H Pt
2 1 6 1
Direct
0.752 0.248 0.500
0.248 0.752 0.500
0.000 0.000 0.000
0.245 0.245 0.512
0.763 0.763 0.988
0.242 0.758 0.000
0.758 0.242 0.000
0.237 0.237 0.012
0.755 0.755 0.488
0.500 0.500 0.000

Entry 8:
Sm3Ho8Er2, relaxed, DFT GGA-PBE; D(E_F) = 1.67 states/eV/atom; energy of formation from the pure elements = 0.246 eV per atom; space-group type = C2/m (12)
1.0
5.555 0.000 0.772
0.000 7.666 0.000
-1.379 -3.833 9.880
Sm Ho Er
3 8 2
Direct
0.500 0.000 0.000
0.000 0.290 0.000
0.000 0.710 0.000
0.001 0.671 0.342
0.999 0.329 0.658
0.000 0.135 0.269
0.000 0.865 0.731
0.500 0.600 0.781
0.500 0.181 0.781
0.500 0.819 0.219
0.500 0.400 0.219
0.499 0.241 0.482
0.501 0.759 0.518

Entry 9:
Cs2Mg4Ni, relaxed, DFT GGA-PBE; D(E_F) = 0.41 states/eV/atom; energy of formation from the pure elements = 0.152 eV per atom; space-group type = I4/mmm (139)
1.0
5.145 0.000 0.000
0.000 5.145 0.000
2.572 2.572 10.674
Cs Ni Mg
2 1 4
Direct
0.672 0.672 0.656
0.328 0.328 0.344
0.000 0.000 0.000
0.888 0.888 0.223
0.112 0.112 0.777
0.000 0.500 0.000
0.500 0.000 0.000

Entry 10:
LiSICl2, relaxed, DFT GGA-PBE; E_form (uncorrected) = -0.107 eV per atom; D(E_F) = 0.39 states/eV/atom; space-group type = P4/mmm (123)
1.0
5.581 0.000 0.000
0.000 5.581 0.000
0.000 0.000 5.159
I S Li Cl
1 1 1 2
Direct
0.000 0.000 0.000
0.000 0.000 0.500
0.500 0.500 0.500
0.000 0.500 0.000
0.500 0.000 0.000

Entry 11:
CaZrAsO6, relaxed, DFT GGA-PBE; E_form (uncorrected) = -2.165 eV per atom; D(E_F) = 0.46 states/eV/atom; space-group type = P-31c (163)
1.0
5.334 0.000 0.000
-2.667 4.620 0.000
0.000 0.000 9.757
Ca Zr As O
2 2 2 12
Direct
0.000 0.000 0.000
0.000 0.000 0.500
0.667 0.333 0.250
0.333 0.667 0.750
0.333 0.667 0.250
0.667 0.333 0.750
0.614 0.651 0.143
0.037 0.386 0.143
0.386 0.037 0.643
0.963 0.614 0.857
0.349 0.386 0.357
0.037 0.651 0.357
0.651 0.037 0.857
0.614 0.963 0.357
0.963 0.349 0.643
0.349 0.963 0.143
0.651 0.614 0.643
0.386 0.349 0.857

Entry 12:
Cd7Ag2Pt2, relaxed, DFT GGA-PBE; D(E_F) = 0.37 states/eV/atom; energy of formation from the pure elements = -0.168 eV per atom; space-group type = Imm2 (44)
1.0
-2.840 -2.820 1.998
-4.171 -3.333 -5.626
1.757 -7.116 -2.538
Cd Ag Pt
7 2 2
Direct
0.845 0.060 0.250
0.854 0.467 0.824
0.500 0.967 0.033
0.646 0.480 0.229
0.354 0.771 0.520
0.155 0.750 0.940
0.146 0.176 0.533
0.000 0.621 0.379
0.500 0.335 0.665
0.708 0.906 0.679
0.292 0.321 0.094

> Which of these has the highest D(E_F)?

Sm3Ho8Er2

> Among the records above, which one has the highest D(E_F)?

Sm3Ho8Er2

Repeat the twelfth record exactly.
Cd7Ag2Pt2, relaxed, DFT GGA-PBE; D(E_F) = 0.37 states/eV/atom; energy of formation from the pure elements = -0.168 eV per atom; space-group type = Imm2 (44)
1.0
-2.840 -2.820 1.998
-4.171 -3.333 -5.626
1.757 -7.116 -2.538
Cd Ag Pt
7 2 2
Direct
0.845 0.060 0.250
0.854 0.467 0.824
0.500 0.967 0.033
0.646 0.480 0.229
0.354 0.771 0.520
0.155 0.750 0.940
0.146 0.176 0.533
0.000 0.621 0.379
0.500 0.335 0.665
0.708 0.906 0.679
0.292 0.321 0.094

Copy entry 3 word for word.
BaTb2AgO5, relaxed, DFT GGA-PBE; E_form (uncorrected) = -2.435 eV per atom; D(E_F) = 0.85 states/eV/atom; space-group type = I4/mcm (140)
1.0
-2.074 1.130 -6.174
1.464 -6.236 -1.633
-5.423 0.789 5.505
Ba Tb Ag O
2 4 2 10
Direct
0.250 0.250 0.500
0.750 0.750 0.500
0.170 0.330 0.000
0.670 0.170 0.000
0.330 0.830 0.000
0.830 0.670 0.000
0.250 0.750 0.500
0.750 0.250 0.500
0.967 0.467 0.229
0.738 0.238 0.771
0.033 0.533 0.771
0.238 0.033 0.771
0.533 0.738 0.771
0.762 0.967 0.229
0.467 0.262 0.229
0.262 0.762 0.229
0.500 0.500 0.000
0.000 0.000 0.000